1.
A relaxed structure of Pm2ReC2, computed with PBE.

ΔH_f (0 K) in eV per atom: -0.30
Crystal system: orthorhombic
Energy above the most stable polymorph in this dataset in kcal/mol of atoms: 0.000
M_tot in μB/atom: 0.00

abc: 6.6952 5.3116 10.1395
angles: 90.00 90.00 90.00
Space group Pnma (No. 62)
Inequivalent atoms, fractional coordinates:
Pm 0.0274 0.2500 0.2139 x4
Pm 0.1859 0.2500 0.5517 x4
Re 0.2278 0.2500 0.8595 x4
C 0.0370 0.7500 0.2415 x4
C 0.1851 0.7500 0.5400 x4

2.
A relaxed structure of ZnRuSe2, computed with PBE.

Formation energy from raw total energies in eV per atom: 0.159
Crystal system: tetragonal
M_tot in μB/atom: 0.00

abc: 3.0794 3.0794 7.3924
angles: 90.00 90.00 90.00
Space group P4/mmm (No. 123)
Inequivalent atoms, fractional coordinates:
Zn 0.0000 0.0000 0.0000 x1
Ru 0.0000 0.0000 0.5000 x1
Se 0.5000 0.5000 0.2882 x2

3.
A relaxed structure of InHgSe3, computed with PBE.

Formation energy from raw total energies in eV per atom: 0.395
Crystal system: cubic
Energy above the most stable polymorph in this dataset in kcal/mol of atoms: 14.232
M_tot in μB/atom: 0.00

abc: 5.3330 5.3330 5.3330
angles: 90.00 90.00 90.00
Space group Pm-3m (No. 221)
Inequivalent atoms, fractional coordinates:
In 0.0000 0.0000 0.0000 x1
Hg 0.5000 0.5000 0.5000 x1
Se 0.0000 0.0000 0.5000 x3

no.,N(E_F) (states/eV/f.u.)
1,1.854
2,2.656
3,8.397